Run one
First-principles (PBE-GGA) data for an optimized crystal structure of Li2LaGeH, as listed in Alexandria.

Cell: 4.367 4.367 4.924 Å, 90.00 90.00 90.00°
Space group P4/mmm (No. 123)
Asymmetric unit:
Li  0.000  0.500  0.000 x2
La  0.000  0.000  0.500 x1
Ge  0.500  0.500  0.500 x1
H  0.000  0.000  0.000 x1

Calculated values
Fermi-level density of states: 1.26 states/eV per cell
Crystal system: tetragonal

Run two
First-principles (PBE-GGA) data for an optimized crystal structure of Li2LaGeH, as listed in Alexandria.

Cell: 4.381 11.034 6.924 Å, 90.00 90.00 90.00°
Space group Cmcm (No. 63)
Asymmetric unit:
Li  0.000  0.159  0.063 x8
La  0.000  0.425  0.250 x4
Ge  0.000  0.293  0.750 x4
H  0.000  0.000  0.000 x4

Calculated values
Fermi-level density of states: 1.37 states/eV per cell
Crystal system: orthorhombic

Least stable of them? run one.

Run one
First-principles (PBE-GGA) data for an optimized crystal structure of Li2GeH6, as listed in Alexandria.

Cell: 6.633 6.633 6.633 Å, 90.00 90.00 90.00°
Space group Fm-3m (No. 225)
Asymmetric unit:
Li  0.250  0.250  0.250 x8
Ge  0.000  0.000  0.000 x4
H  0.000  0.000  0.256 x24

Calculated values
Fermi-level density of states: 1.39 states/eV per cell
Crystal system: cubic

Run two
First-principles (PBE-GGA) data for an optimized crystal structure of Li2GeH6, as listed in Alexandria.

Cell: 4.299 4.299 8.302 Å, 90.00 90.00 90.00°
Space group P4_2/mnm (No. 136)
Asymmetric unit:
Li  0.000  0.000  0.168 x4
Ge  0.000  0.000  0.500 x2
H  0.191  0.191  0.352 x8
H  0.223  0.223  0.000 x4

Calculated values
Crystal system: tetragonal

Least stable of them? run one.

Run one
First-principles (PBE-GGA) data for an optimized crystal structure of LiGe2H2, as listed in Alexandria.

Cell: 6.475 6.475 2.832 Å, 90.00 90.00 90.00°
Space group P4/mbm (No. 127)
Asymmetric unit:
Li  0.000  0.000  0.000 x2
Ge  0.144  0.356  0.500 x4
H  0.109  0.609  0.000 x4

Calculated values
Fermi-level density of states: 1.89 states/eV per cell
Crystal system: tetragonal

Run two
First-principles (PBE-GGA) data for an optimized crystal structure of LiGe2H2, as listed in Alexandria.

Cell: 3.947 3.947 8.973 Å, 90.00 90.00 90.00°
Space group I4/mmm (No. 139)
Asymmetric unit:
Li  0.000  0.000  0.000 x2
Ge  0.000  0.000  0.314 x4
H  0.000  0.500  0.250 x4

Calculated values
Fermi-level density of states: 2.78 states/eV per cell
Crystal system: tetragonal

Least stable of them? run two.

Run one
First-principles (PBE-GGA) data for an optimized crystal structure of Li2GeH2, as listed in Alexandria.

Cell: 6.255 6.255 2.716 Å, 90.00 90.00 90.00°
Space group P4/mbm (No. 127)
Asymmetric unit:
Li  0.154  0.346  0.000 x4
Ge  0.000  0.000  0.500 x2
H  0.147  0.647  0.500 x4

Calculated values
Fermi-level density of states: 0.48 states/eV per cell
Crystal system: tetragonal

Run two
First-principles (PBE-GGA) data for an optimized crystal structure of Li2GeH2, as listed in Alexandria.

Cell: 3.381 3.381 9.225 Å, 90.00 90.00 90.00°
Space group I4/mmm (No. 139)
Asymmetric unit:
Li  0.000  0.000  0.174 x4
Ge  0.000  0.000  0.500 x2
H  0.000  0.500  0.250 x4

Calculated values
Fermi-level density of states: 2.26 states/eV per cell
Crystal system: tetragonal

Least stable of them? run one.

Run one
First-principles (PBE-GGA) data for an optimized crystal structure of LiGe2H, as listed in Alexandria.

Cell: 4.936 4.936 11.595 Å, 90.00 90.00 90.00°
Space group I-42d (No. 122)
Asymmetric unit:
Li  0.000  0.000  0.000 x4
Ge  0.089  0.250  0.625 x8
H  0.000  0.000  0.500 x4

Calculated values
Fermi-level density of states: 2.09 states/eV per cell
Crystal system: tetragonal

Run two
First-principles (PBE-GGA) data for an optimized crystal structure of LiGe2H, as listed in Alexandria.

Cell: 6.009 6.009 6.009 Å, 90.00 90.00 90.00°
Space group Fm-3m (No. 225)
Asymmetric unit:
Li  0.000  0.000  0.000 x4
Ge  0.250  0.250  0.250 x8
H  0.000  0.000  0.500 x4

Calculated values
Fermi-level density of states: 1.42 states/eV per cell
Crystal system: cubic

Least stable of them? run two.

Run one
First-principles (PBE-GGA) data for an optimized crystal structure of Li2GeHPd, as listed in Alexandria.

Cell: 4.017 4.017 3.659 Å, 90.00 90.00 90.00°
Space group P4/mmm (No. 123)
Asymmetric unit:
Li  0.000  0.500  0.000 x2
Ge  0.000  0.000  0.500 x1
H  0.500  0.500  0.000 x1
Pd  0.500  0.500  0.500 x1

Calculated values
Fermi-level density of states: 1.27 states/eV per cell
Crystal system: tetragonal

Run two
First-principles (PBE-GGA) data for an optimized crystal structure of Li2GeHPd, as listed in Alexandria.

Cell: 3.818 3.818 4.124 Å, 90.00 90.00 90.00°
Space group P4/mmm (No. 123)
Asymmetric unit:
Li  0.000  0.500  0.000 x2
Ge  0.000  0.000  0.500 x1
H  0.000  0.000  0.000 x1
Pd  0.500  0.500  0.500 x1

Calculated values
Fermi-level density of states: 1.24 states/eV per cell
Crystal system: tetragonal

Least stable of them? run two.